PuTlNiO4 | PBE+U | relaxed

```
PuTlNiO4
1.0
-3.2569 -0.4562 -4.9736
-2.2834 -4.5031 1.9083
-1.8103 4.3769 8.1623
O Ni Pu Tl
8 2 2 2
Cartesian
-4.6534 -1.0564 3.3892
-3.9380 1.9826 3.7831
-3.4126 -2.5651 1.3138
-2.6971 0.4740 1.7078
-2.6084 0.6590 6.0197
-1.4809 2.8825 5.0775
-5.8697 -3.4649 0.0195
-4.7422 -1.2414 -0.9228
-2.1138 1.0858 3.8496
-5.2367 -1.6683 1.2474
-4.5035 1.4913 1.9471
-2.8471 -2.0737 3.1499
-5.0639 0.1420 5.7259
-2.2866 -0.7245 -0.6290
```

Output
Calculated total energy in eV per atom: -7.080
SG: P2_1/m (11)
ρ in g/cm3: 8.238